Material: MgPdS2N
Method: DFT, PBE
State: relaxed Values from VASP.

Output
**Total magnetization**: 0.000 μB per atom
**Symmetry**: P4/mmm
**Formation energy without anion corrections**: 952.4 meV per atom
**Energy above the most stable polymorph in this dataset**: 270 kJ/mol of formula units
**Crystal system**: tetragonal
**Total DFT energy (no corrections)**: -18.6 eV per formula unit

```
&SYSTEM
  ibrav = 0, nat = 5, ntyp = 4
/
ATOMIC_SPECIES
S 32.06 S.upf
Mg 24.30 Mg.upf
Pd 106.42 Pd.upf
N 14.01 N.upf
ATOMIC_POSITIONS crystal
S 0.0000 0.5000 0.0000
S 0.5000 0.0000 0.0000
Mg 0.0000 0.0000 0.0000
Pd 0.5000 0.5000 0.5000
N 0.0000 0.0000 0.5000
CELL_PARAMETERS angstrom
-0.0257 -3.2766 -3.4608
4.7603 -0.1846 0.1394
-0.1850 -2.7807 2.6340
```



Material: MgPdSN2
Method: DFT, PBE
State: relaxed Values from VASP.

Output
**Total magnetization**: 0.677 μB per atom
**Symmetry**: P4/mmm
**Formation energy without anion corrections**: 928.8 meV per atom
**Energy above the most stable polymorph in this dataset**: 0 kJ/mol of formula units
**Crystal system**: tetragonal
**Total DFT energy (no corrections)**: -22.9 eV per formula unit

```
&SYSTEM
  ibrav = 0, nat = 5, ntyp = 4
/
ATOMIC_SPECIES
S 32.06 S.upf
Mg 24.30 Mg.upf
Pd 106.42 Pd.upf
N 14.01 N.upf
ATOMIC_POSITIONS crystal
S 0.0000 0.0000 0.5000
Mg 0.5000 0.5000 0.5000
Pd 0.0000 0.0000 0.0000
N 0.0000 0.5000 0.0000
N 0.5000 0.0000 0.0000
CELL_PARAMETERS angstrom
-2.6395 -1.7019 -2.3410
0.4089 -3.3559 1.9785
-3.8766 1.4731 3.2999
```